(1)
This record from the Alexandria database describes a geometry-optimized TlIn8Pb2 structure. The functional is PBE.

```
TlIn8Pb2
1.0
5.014 0.000 -1.335
-0.454 6.980 -1.703
-0.295 0.128 8.974
In Pb Tl
8 2 1
direct
0.589 0.459 0.179 In
0.682 0.906 0.364 In
0.411 0.541 0.821 In
0.318 0.094 0.636 In
0.956 0.277 0.912 In
0.044 0.723 0.088 In
0.865 0.827 0.730 In
0.135 0.173 0.270 In
0.227 0.638 0.455 Pb
0.773 0.362 0.545 Pb
0.500 0.000 0.000 Tl
```

Its symmetry is C2/m. The calculation puts the energy of formation from the pure elements at 15 meV/atom. The total DFT energy (no corrections) comes out at -2.87 eV per atom.

---

(2)
This record from the Alexandria database describes a geometry-optimized LaPa2Te5 structure. The functional is PBE.

```
LaPa2Te5
1.0
-6.072 -3.425 4.291
0.051 -6.432 -5.063
7.892 1.613 4.647
Te La Pa
10 2 4
direct
0.695 0.195 0.708 Te
0.000 0.000 0.000 Te
0.500 0.500 0.000 Te
0.305 0.805 0.292 Te
0.195 0.013 0.708 Te
0.013 0.513 0.708 Te
0.487 0.305 0.292 Te
0.987 0.487 0.292 Te
0.513 0.695 0.708 Te
0.805 0.987 0.292 Te
0.750 0.750 0.500 La
0.250 0.250 0.500 La
0.642 0.142 0.000 Pa
0.358 0.858 0.000 Pa
0.858 0.642 0.000 Pa
0.142 0.358 0.000 Pa
```

Its symmetry is I4/mcm. As for the uncorrected formation energy: -1072 meV/atom. The total DFT energy (no corrections) comes out at -6.03 eV per atom.